First-principles (GGA-PBE) data for a relaxed structure of HoMgCuTe2S, as listed in OQMD via LeMat-Bulk.

Calculated values
crystal system = orthorhombic
magnetic moment = 0.00 μB/atom

a = 7.0977 Å, b = 7.0977 Å, c = 10.3545 Å
α = 90.00°, β = 90.00°, γ = 147.17°
Fractional positions:
S 0.9161 0.0839 0.2500
S 0.0839 0.9161 0.7500
Mg 0.7197 0.2803 0.7500
Mg 0.2803 0.7197 0.2500
Te 0.3450 0.6550 0.5751
Te 0.3450 0.6550 0.9249
Te 0.6550 0.3450 0.4249
Te 0.6550 0.3450 0.0751
Cu 0.4852 0.5148 0.7500
Cu 0.5148 0.4852 0.2500
Ho 0.0000 0.0000 0.0000
Ho 0.0000 0.0000 0.5000



First-principles (GGA-PBE) data for a relaxed structure of Ba3PrN3, as listed in OQMD via LeMat-Bulk.

Calculated values
crystal system = orthorhombic
magnetic moment = 0.06 μB/atom
energy above the most stable polymorph in this dataset = 0.000 eV/f.u.

a = 7.8311 Å, b = 5.8628 Å, c = 7.8322 Å
α = 90.00°, β = 95.60°, γ = 90.00°
Site moments in Bohr magnetons follow the coordinates.
Fractional positions:
N 0.8408 0.7500 0.1008  0.01
N 0.1592 0.2500 0.8992  0.01
N 0.3990 0.7500 0.6590  0.01
N 0.6010 0.2500 0.3410  0.01
N 0.1389 0.2500 0.3611  0.01
N 0.8611 0.7500 0.6389  0.01
Ba 0.1361 0.7500 0.8825  0.01
Ba 0.8955 0.2500 0.6044  0.01
Ba 0.8639 0.2500 0.1175  0.01
Ba 0.1045 0.7500 0.3956  0.01
Ba 0.3825 0.2500 0.6361  0.01
Ba 0.6175 0.7500 0.3639  0.01
Pr 0.3391 0.2500 0.1610  0.07
Pr 0.6609 0.7500 0.8390  0.07



First-principles (GGA-PBE) data for a relaxed structure of RbSmHgSe3, as listed in OQMD via LeMat-Bulk.

Calculated values
crystal system = monoclinic
magnetic moment = 0.00 μB/atom

a = 9.5592 Å, b = 9.5592 Å, c = 9.3760 Å
α = 102.34°, β = 102.34°, γ = 26.07°
Fractional positions:
Se 0.5000 0.5000 0.0000
Se 0.3307 0.3307 0.6307
Se 0.6693 0.6693 0.3693
Se 0.3312 0.3312 0.2101
Se 0.6688 0.6688 0.7899
Se 0.0000 0.0000 0.5000
Sm 0.8286 0.8286 0.4195
Sm 0.1714 0.1714 0.5805
Hg 0.5176 0.5176 0.7227
Hg 0.4824 0.4824 0.2773
Rb 0.1426 0.1426 0.0702
Rb 0.8574 0.8574 0.9298



First-principles (GGA-PBE) data for a relaxed structure of TaWS4, as listed in OQMD via LeMat-Bulk.

Calculated values
crystal system = orthorhombic
magnetic moment = 0.00 μB/atom
energy above the most stable polymorph in this dataset = 0.010 eV/f.u.

a = 3.2682 Å, b = 10.2926 Å, c = 10.2926 Å
α = 148.04°, β = 90.00°, γ = 90.00°
Fractional positions:
S 0.5000 0.9185 0.7623
S 0.0000 0.4108 0.2529
S 0.0000 0.2529 0.4108
S 0.5000 0.7623 0.9185
W 0.0000 0.0039 0.0039
Ta 0.5000 0.4996 0.4996



First-principles (GGA-PBE) data for a relaxed structure of ScFeCoSn, as listed in OQMD via LeMat-Bulk.

Calculated values
crystal system = cubic
magnetic moment = 0.00 μB/atom
energy above the most stable polymorph in this dataset = 0.000 eV/f.u.

a = 4.3615 Å, b = 4.3615 Å, c = 4.3615 Å
α = 60.00°, β = 60.00°, γ = 60.00°
Fractional positions:
Fe 0.2500 0.2500 0.2500
Sn 0.0000 0.0000 0.0000
Co 0.7500 0.7500 0.7500
Sc 0.5000 0.5000 0.5000



First-principles (GGA-PBE) data for a relaxed structure of OsI, as listed in OQMD via LeMat-Bulk.

Calculated values
crystal system = hexagonal
magnetic moment = 0.00 μB/atom
energy above the most stable polymorph in this dataset = 0.000 eV/f.u.

a = 4.5193 Å, b = 4.5193 Å, c = 5.1003 Å
α = 90.00°, β = 90.00°, γ = 120.00°
Fractional positions:
I 0.6667 0.3333 0.7500
I 0.3333 0.6667 0.2500
Os 0.0000 0.0000 0.0000
Os 0.0000 0.0000 0.5000



First-principles (GGA-PBE) data for a relaxed structure of PaO2, as listed in OQMD via LeMat-Bulk.

Calculated values
crystal system = triclinic
magnetic moment = 0.33 μB/atom

a = 5.2307 Å, b = 6.4043 Å, c = 6.4043 Å
α = 70.55°, β = 89.97°, γ = 89.97°
Site moments in Bohr magnetons follow the coordinates.
Fractional positions:
Pa 0.4908 0.4988 0.7496  1.03
Pa 0.4892 0.0012 0.2504  1.03
Pa 0.9892 0.9988 0.7496  1.03
Pa 0.9908 0.5012 0.2504  1.03
O 0.6706 0.1500 0.9021  -0.02
O 0.1741 0.3463 0.5968  -0.02
O 0.8094 0.6495 0.9031  -0.02
O 0.6754 0.6541 0.4020  -0.02
O 0.1706 0.8489 0.0985  -0.02
O 0.3058 0.8457 0.5977  -0.02
O 0.8059 0.1553 0.4016  -0.02
O 0.3082 0.3502 0.0982  -0.02



First-principles (GGA-PBE) data for a relaxed structure of Ba2ReTc, as listed in OQMD via LeMat-Bulk.

Calculated values
crystal system = cubic
magnetic moment = 0.01 μB/atom

a = 5.1875 Å, b = 5.1875 Å, c = 5.1875 Å
α = 60.00°, β = 60.00°, γ = 60.00°
Fractional positions:
Ba 0.7500 0.7500 0.7500
Ba 0.5000 0.5000 0.5000
Tc 0.2500 0.2500 0.2500
Re 0.0000 0.0000 0.0000



First-principles (GGA-PBE) data for a relaxed structure of CsLaNiSe3, as listed in OQMD via LeMat-Bulk.

Calculated values
crystal system = monoclinic
magnetic moment = 0.17 μB/atom
energy above the most stable polymorph in this dataset = 1.293 eV/f.u.

a = 8.9458 Å, b = 8.9458 Å, c = 9.1863 Å
α = 101.40°, β = 101.40°, γ = 30.20°
Site moments in Bohr magnetons follow the coordinates.
Fractional positions:
Se 0.6548 0.6548 0.8638  0.01
Se 0.6347 0.6347 0.2786  0.01
Se 0.3653 0.3653 0.7214  0.01
Se 0.3452 0.3452 0.1362  0.01
Se 0.5000 0.5000 0.5000  0.17
Se 0.0000 0.0000 0.0000  0.14
Ni 0.5068 0.5068 0.7668  0.70
Ni 0.4932 0.4932 0.2332  0.70
La 0.1641 0.1641 0.0883  0.00
La 0.8359 0.8359 0.9117  0.00
Cs 0.1499 0.1499 0.5726  0.01
Cs 0.8501 0.8501 0.4274  0.01



First-principles (GGA-PBE) data for a relaxed structure of RbOs3Se5, as listed in OQMD via LeMat-Bulk.

Calculated values
crystal system = hexagonal
magnetic moment = 0.00 μB/atom

a = 5.8405 Å, b = 5.8405 Å, c = 7.2502 Å
α = 90.00°, β = 90.00°, γ = 120.00°
Fractional positions:
Se 0.6667 0.3333 0.2506
Se 0.3333 0.6667 0.7494
Se 0.3333 0.6667 0.2506
Se 0.0000 0.0000 0.5000
Se 0.6667 0.3333 0.7494
Os 0.5000 0.5000 0.5000
Os 0.0000 0.5000 0.5000
Os 0.5000 0.0000 0.5000
Rb 0.0000 0.0000 0.0000



First-principles (GGA-PBE) data for a relaxed structure of HoTmGa2Pt4, as listed in OQMD via LeMat-Bulk.

Calculated values
crystal system = hexagonal
magnetic moment = 0.00 μB/atom

a = 4.3737 Å, b = 4.3737 Å, c = 9.0376 Å
α = 90.00°, β = 90.00°, γ = 120.00°
Fractional positions:
Pt 0.6667 0.3333 0.1651
Pt 0.0000 0.0000 0.3379
Pt 0.6667 0.3333 0.8349
Pt 0.0000 0.0000 0.6621
Ga 0.3333 0.6667 0.2504
Ga 0.3333 0.6667 0.7496
Ho 0.0000 0.0000 0.0000
Tm 0.6667 0.3333 0.5000



First-principles (GGA-PBE) data for a relaxed structure of TbHoZn2Ge2, as listed in OQMD via LeMat-Bulk.

Calculated values
crystal system = hexagonal
magnetic moment = 0.00 μB/atom
energy above the most stable polymorph in this dataset = 0.000 eV/f.u.

a = 4.2345 Å, b = 4.2345 Å, c = 15.6434 Å
α = 90.00°, β = 90.00°, γ = 120.00°
Fractional positions:
Ge 0.3333 0.6667 0.1146
Ge 0.6667 0.3333 0.8854
Ge 0.6667 0.3333 0.6146
Ge 0.3333 0.6667 0.3854
Zn 0.6667 0.3333 0.3519
Zn 0.3333 0.6667 0.6481
Zn 0.6667 0.3333 0.1481
Zn 0.3333 0.6667 0.8519
Ho 0.0000 0.0000 0.7500
Ho 0.0000 0.0000 0.2500
Tb 0.0000 0.0000 0.5000
Tb 0.0000 0.0000 0.0000



First-principles (GGA-PBE) data for a relaxed structure of LaTbGe2Au2, as listed in OQMD via LeMat-Bulk.

Calculated values
crystal system = trigonal
magnetic moment = 0.00 μB/atom

a = 4.5224 Å, b = 4.5224 Å, c = 7.6771 Å
α = 90.00°, β = 90.00°, γ = 120.00°
Fractional positions:
Tb 0.0000 0.0000 0.0023
Ge 0.6667 0.3333 0.7265
Ge 0.3333 0.6667 0.2076
La 0.0000 0.0000 0.5065
Au 0.6667 0.3333 0.2545
Au 0.3333 0.6667 0.8042



First-principles (GGA-PBE) data for a relaxed structure of ZnMoPt, as listed in OQMD via LeMat-Bulk.

Calculated values
ΔH_f (0 K) = 0.304 eV per atom
crystal system = cubic
magnetic moment = 0.00 μB/atom

a = 4.2413 Å, b = 4.2413 Å, c = 4.2413 Å
α = 60.00°, β = 60.00°, γ = 60.00°
Fractional positions:
Mo 0.0000 0.0000 0.0000
Pt 0.2500 0.2500 0.2500
Zn 0.7500 0.7500 0.7500



First-principles (GGA-PBE) data for a relaxed structure of Nd5Mg4Cd, as listed in OQMD via LeMat-Bulk.

Calculated values
crystal system = tetragonal
magnetic moment = 0.00 μB/atom

a = 3.8741 Å, b = 3.8741 Å, c = 19.3751 Å
α = 90.00°, β = 90.00°, γ = 90.00°
Fractional positions:
Mg 0.0000 0.0000 0.2002
Mg 0.0000 0.0000 0.7998
Mg 0.0000 0.0000 0.6005
Mg 0.0000 0.0000 0.3995
Nd 0.5000 0.5000 0.7011
Nd 0.5000 0.5000 0.9010
Nd 0.5000 0.5000 0.5000
Nd 0.5000 0.5000 0.2989
Nd 0.5000 0.5000 0.0990
Cd 0.0000 0.0000 0.0000



First-principles (GGA-PBE) data for a relaxed structure of LuBeTlPt, as listed in OQMD via LeMat-Bulk.

Calculated values
crystal system = cubic
magnetic moment = 0.00 μB/atom
energy above the most stable polymorph in this dataset = 0.303 eV/f.u.

a = 4.6734 Å, b = 4.6734 Å, c = 4.6734 Å
α = 60.00°, β = 60.00°, γ = 60.00°
Fractional positions:
Tl 0.2500 0.2500 0.2500
Pt 0.5000 0.5000 0.5000
Lu 0.0000 0.0000 0.0000
Be 0.7500 0.7500 0.7500



First-principles (GGA-PBE) data for a relaxed structure of ZrB4Ir3, as listed in OQMD via LeMat-Bulk.

Calculated values
crystal system = hexagonal
magnetic moment = 0.00 μB/atom

a = 7.6135 Å, b = 7.6135 Å, c = 3.5406 Å
α = 90.00°, β = 90.00°, γ = 120.00°
Fractional positions:
Ir 0.7433 0.6705 0.2500
Ir 0.3295 0.0728 0.2500
Ir 0.9272 0.2567 0.2500
Ir 0.2567 0.3295 0.7500
Ir 0.6705 0.9272 0.7500
Ir 0.0728 0.7433 0.7500
B 0.0000 0.0000 0.5000
B 0.0000 0.0000 0.0000
B 0.4479 0.3974 0.2500
B 0.6026 0.0505 0.2500
B 0.0505 0.4479 0.7500
B 0.3974 0.9495 0.7500
B 0.9495 0.5521 0.2500
B 0.5521 0.6026 0.7500
Zr 0.3333 0.6667 0.2500
Zr 0.6667 0.3333 0.7500



First-principles (GGA-PBE) data for a relaxed structure of Tb2HoCu4Sn2Ge2, as listed in OQMD via LeMat-Bulk.

Calculated values
crystal system = orthorhombic
magnetic moment = 0.00 μB/atom
energy above the most stable polymorph in this dataset = 0.000 eV/f.u.

a = 8.2726 Å, b = 8.2726 Å, c = 8.2726 Å
α = 149.46°, β = 132.29°, γ = 57.71°
Fractional positions:
Sn 0.7825 0.7825 0.0000
Sn 0.2175 0.2175 0.0000
Cu 0.0306 0.3409 0.6897
Cu 0.3488 0.6591 0.6897
Cu 0.6512 0.3409 0.3103
Cu 0.9694 0.6591 0.3103
Tb 0.3745 0.8745 0.5000
Tb 0.6255 0.1255 0.5000
Ge 0.3082 0.5000 0.8082
Ge 0.6918 0.5000 0.1918
Ho 0.0000 0.0000 0.0000



First-principles (GGA-PBE) data for a relaxed structure of TcAsPtO, as listed in OQMD via LeMat-Bulk.

Calculated values
crystal system = tetragonal
magnetic moment = 0.00 μB/atom
energy above the most stable polymorph in this dataset = 1.213 eV/f.u.

a = 4.3791 Å, b = 4.3791 Å, c = 5.6462 Å
α = 90.00°, β = 90.00°, γ = 90.00°
Fractional positions:
O 0.7500 0.2500 0.0000
O 0.2500 0.7500 0.0000
As 0.2500 0.2500 0.6990
As 0.7500 0.7500 0.3010
Tc 0.7500 0.2500 0.5000
Tc 0.2500 0.7500 0.5000
Pt 0.7500 0.7500 0.8583
Pt 0.2500 0.2500 0.1417



First-principles (GGA-PBE) data for a relaxed structure of LuAlCuAu, as listed in OQMD via LeMat-Bulk.

Calculated values
crystal system = cubic
magnetic moment = 0.00 μB/atom
energy above the most stable polymorph in this dataset = 0.699 eV/f.u.

a = 4.6065 Å, b = 4.6065 Å, c = 4.6065 Å
α = 60.00°, β = 60.00°, γ = 60.00°
Fractional positions:
Au 0.7500 0.7500 0.7500
Cu 0.0000 0.0000 0.0000
Lu 0.2500 0.2500 0.2500
Al 0.5000 0.5000 0.5000



Record-wise raw total energy values, in eV per atom: -4.27; -5.46; -3.86; -7.81; -6.72; -4.98; -9.38; -5.16; -4.64; -5.81; -6.00; -4.17; -5.09; -5.75; -3.25; -4.33; -8.25; -4.77; -6.38; -4.18